# ErHAu

An optimized crystal structure of ErHAu (PBE, Alexandria via LeMat-Bulk).

```
data_ErHAu
_chemical_formula_sum 'Er2 H2 Au2'
_space_group_name_H-M_alt 'I 4 m m'
_space_group_IT_number 107
_space_group_name_Hall 'I 4 -2'
_cell_length_a 3.486
_cell_length_b 3.486
_cell_length_c 8.933
_cell_angle_alpha 90.00
_cell_angle_beta 90.00
_cell_angle_gamma 90.00
loop_
_atom_site_label
_atom_site_type_symbol
_atom_site_fract_x
_atom_site_fract_y
_atom_site_fract_z
_atom_site_occupancy
Er1 Er 0.000 0.000 0.000 1
H1 H 0.000 0.000 0.460 1
Au1 Au 0.000 0.000 0.683 1
```

Computed properties:
Volume (Å³ per atom): 18.09
E above lowest polymorph (eV/atom): 0.210
ρ (kg/m3): 11174
E (eV per atom): -4.078